# La2BeSi3Ir4

Crystalline La2BeSi3Ir4 at its relaxed geometry (GGA-PBE, Alexandria).

* space group: P-4m2 (115)
* energy relative to the elements, uncorrected: -0.942 eV/atom
* final energy: -7.47 eV per atom

Unit cell a=4.169 b=4.169 c=10.040 alpha=90.00 beta=90.00 gamma=90.00
Sites, in units of the cell vectors:
La: 0.000 0.500 0.241
La: 0.500 0.000 0.759
Be: 0.500 0.500 0.000
Si: 0.000 0.000 0.000
Si: 0.000 0.500 0.628
Si: 0.500 0.000 0.372
Ir: 0.000 0.000 0.500
Ir: 0.000 0.500 0.876
Ir: 0.500 0.000 0.124
Ir: 0.500 0.500 0.500